1.
The following is a PBE calculation of a relaxed structure of Mg3Mn, from Alexandria via LeMat-Bulk.

Output
- electronic total energy (eV/atom) = -3.2922

CIF file:
```
data_Mg3Mn
_chemical_formula_sum 'Mg3 Mn1'
_symmetry_space_group_name_H-M 'P -6 m 2'
_symmetry_Int_Tables_number 187
_symmetry_space_group_name_Hall 'P -6 2'
_cell_length_a 3.0783
_cell_length_b 3.0783
_cell_length_c 9.7945
_cell_angle_alpha 90.00
_cell_angle_beta 90.00
_cell_angle_gamma 120.00
loop_
_atom_site_label
_atom_site_type_symbol
_atom_site_fract_x
_atom_site_fract_y
_atom_site_fract_z
Mg1 Mg 0.0000 0.0000 0.0000
Mg2 Mg 0.3333 0.6667 0.2692
Mn1 Mn 0.0000 0.0000 0.5000
```

2.
The following is a PBE calculation of a relaxed structure of MgTl2In, from Alexandria via LeMat-Bulk.

Output
- electronic total energy (eV/atom) = -2.2479

CIF file:
```
data_MgTl2In
_chemical_formula_sum 'Mg2 Tl4 In2'
_symmetry_space_group_name_H-M 'C 1 m 1'
_symmetry_Int_Tables_number 8
_symmetry_space_group_name_Hall 'C -2y'
_cell_length_a 11.180
_cell_length_b 3.335
_cell_length_c 5.996
_cell_angle_alpha 90.00
_cell_angle_beta 103.01
_cell_angle_gamma 90.00
loop_
_atom_site_label
_atom_site_type_symbol
_atom_site_fract_x
_atom_site_fract_y
_atom_site_fract_z
Mg1 Mg 0.000 0.000 0.000
Tl1 Tl 0.256 0.000 0.765
Tl2 Tl 0.494 0.000 0.491
In1 In 0.236 0.500 0.243
```

3.
The following is a PBE calculation of a relaxed structure of CoSiTc2H, from Alexandria via LeMat-Bulk.

Output
- electronic total energy (eV/atom) = -7.3947

CIF file:
```
data_CoSiTc2H
_chemical_formula_sum 'Co1 Si1 Tc2 H1'
_symmetry_space_group_name_H-M 'P 4/m m m'
_symmetry_Int_Tables_number 123
_symmetry_space_group_name_Hall '-P 4 2'
_cell_length_a 4.144
_cell_length_b 4.144
_cell_length_c 3.136
_cell_angle_alpha 90.00
_cell_angle_beta 90.00
_cell_angle_gamma 90.00
loop_
_atom_site_label
_atom_site_type_symbol
_atom_site_fract_x
_atom_site_fract_y
_atom_site_fract_z
Co1 Co 0.000 0.000 0.000
Si1 Si 0.500 0.500 0.000
Tc1 Tc 0.000 0.500 0.500
H1 H 0.000 0.000 0.500
```